{"formula": "RbSr2Mg2", "functional": "PBE", "state": "optimized geometry", "energy_ev_per_atom": -1.3462, "e_above_lowest_polymorph_ev_per_atom": 0.0662, "sg": "I4/mmm (139)", "dos_at_fermi_per_ev_cell": 4.98, "ef_ev_per_fu": 0.789, "lattice_angstrom": [[4.3448, 0.0000, 0.0000], [0.0000, 4.3448, 0.0000], [2.1724, 2.1724, 13.2402]], "species": ["Mg", "Sr", "Sr", "Rb", "Mg"], "frac_coords": [[0.2500, 0.7500, 0.5000], [0.6391, 0.6391, 0.7218], [0.3609, 0.3609, 0.2782], [0.0000, 0.0000, 0.0000], [0.7500, 0.2500, 0.5000]]}